Tb2DySi5: optimized geometry, PBE-GGA. Values from VASP.

- magnetic moment (μB/f.u.) = 0.00
- density (g/cm3) = 6.5
- final energy (eV for the cell shown) = -46.4

Cell and atoms, written as Quantum ESPRESSO input:
```
&SYSTEM
  ibrav = 0, nat = 8, ntyp = 3
/
ATOMIC_SPECIES
Tb 158.93 Tb.upf
Dy 162.50 Dy.upf
Si 28.09 Si.upf
CELL_PARAMETERS angstrom
4.204 0.000 0.000
0.000 5.692 3.299
0.000 -5.692 3.299
ATOMIC_POSITIONS angstrom
Tb 0.000 -3.680 3.299
Tb 0.000 3.680 3.299
Dy 0.000 0.000 3.499
Si 2.102 -1.513 2.054
Si 2.102 1.513 2.054
Si 2.102 -1.895 4.461
Si 2.102 1.895 4.461
Si 2.102 0.000 5.984
```